Record 1
The following is a PBE-GGA calculation of a relaxed Ac4Cu2Pt crystal, from the Alexandria database.

a = 5.9184 Å, b = 5.9184 Å, c = 14.5484 Å
α = 90.00°, β = 90.00°, γ = 90.00°
Space group I4/mmm (No. 139)
Symmetry-distinct sites (fractional):
Ac: 0.0000 0.0000 0.2091 [4 per cell]
Ac: 0.0000 0.5000 0.0000 [4 per cell]
Cu: 0.0000 0.0000 0.4147 [4 per cell]
Pt: 0.0000 0.0000 0.0000 [2 per cell]

## Properties
Energy in eV/atom: -4.593

Record 2
The following is a PBE-GGA calculation of a relaxed RbSnN2 crystal, from the Alexandria database.

a = 4.3447 Å, b = 4.3447 Å, c = 21.7138 Å
α = 90.00°, β = 90.00°, γ = 120.00°
Space group R-3m (No. 166, hexagonal axes)
Symmetry-distinct sites (fractional):
Rb: 0.0000 0.0000 0.0000 [3 per cell]
Sn: 0.0000 0.0000 0.5000 [3 per cell]
N: 0.0000 0.0000 0.4121 [6 per cell]

## Properties
Formation energy (no corrections) in eV/atom: 1.09

Record 3
The following is a PBE-GGA calculation of a relaxed Sn2IrPt crystal, from the Alexandria database.

a = 5.9369 Å, b = 5.9369 Å, c = 12.2635 Å
α = 90.00°, β = 90.00°, γ = 90.00°
Space group I-42d (No. 122)
Symmetry-distinct sites (fractional):
Sn: 0.2429 0.2500 0.1250 [8 per cell]
Ir: 0.0000 0.0000 0.0000 [4 per cell]
Pt: 0.0000 0.0000 0.5000 [4 per cell]

## Properties
Relative energy among the computed polymorphs in eV per atom: 0.174

Record 4
The following is a PBE-GGA calculation of a relaxed InTeCl crystal, from the Alexandria database.

a = 4.8051 Å, b = 4.9326 Å, c = 15.0728 Å
α = 90.00°, β = 90.00°, γ = 90.00°
Space group Fmm2 (No. 42)
Symmetry-distinct sites (fractional):
In: 0.0000 0.0000 0.0000 [4 per cell]
Te: 0.0000 0.0000 0.3499 [4 per cell]
Cl: 0.0000 0.0000 0.6097 [4 per cell]

## Properties
Formation energy (no corrections) in eV/atom: -0.29

Record 5
The following is a PBE-GGA calculation of a relaxed Sr2Tl3Hg5 crystal, from the Alexandria database.

a = 13.1766 Å, b = 13.5231 Å, c = 6.8930 Å
α = 90.00°, β = 90.00°, γ = 90.00°
Space group Ibam (No. 72)
Symmetry-distinct sites (fractional):
Sr: 0.2455 0.1242 0.0000 [8 per cell]
Tl: 0.0000 0.5000 0.2500 [4 per cell]
Tl: 0.1336 0.1298 0.5000 [8 per cell]
Hg: 0.0000 0.0000 0.2500 [4 per cell]
Hg: 0.0000 0.2590 0.2500 [8 per cell]
Hg: 0.1458 0.3740 0.0000 [8 per cell]

## Properties
Energy in eV/atom: -1.412

Record 6
The following is a PBE-GGA calculation of a relaxed Sc2CdPtC crystal, from the Alexandria database.

a = 4.5661 Å, b = 4.5661 Å, c = 4.1000 Å
α = 90.00°, β = 90.00°, γ = 90.00°
Space group P4/mmm (No. 123)
Symmetry-distinct sites (fractional):
Sc: 0.0000 0.5000 0.0000 [2 per cell]
Cd: 0.0000 0.0000 0.5000 [1 per cell]
Pt: 0.5000 0.5000 0.5000 [1 per cell]
C: 0.5000 0.5000 0.0000 [1 per cell]

## Properties
Energy in eV/atom: -6.263

Record 7
The following is a PBE-GGA calculation of a relaxed TbMg4Sc2 crystal, from the Alexandria database.

a = 5.6742 Å, b = 11.8968 Å, c = 5.5463 Å
α = 90.00°, β = 90.00°, γ = 90.00°
Space group Cmmm (No. 65)
Symmetry-distinct sites (fractional):
Tb: 0.0000 0.0000 0.0000 [2 per cell]
Mg: 0.0000 0.1263 0.5000 [4 per cell]
Mg: 0.0000 0.2835 0.0000 [4 per cell]
Sc: 0.0000 0.3752 0.5000 [4 per cell]

## Properties
Relative energy among the computed polymorphs in eV per atom: 0.259

Record 8
The following is a PBE-GGA calculation of a relaxed Tl2NiRhS2 crystal, from the Alexandria database.

a = 5.7567 Å, b = 15.7666 Å, c = 5.6974 Å
α = 90.00°, β = 90.00°, γ = 90.00°
Space group Ibam (No. 72)
Symmetry-distinct sites (fractional):
Tl: 0.2310 0.1663 0.0000 [8 per cell]
Ni: 0.0000 0.5000 0.2500 [4 per cell]
Rh: 0.0000 0.0000 0.2500 [4 per cell]
S: 0.2267 0.4252 0.0000 [8 per cell]

## Properties
Formation energy (no corrections) in eV/atom: -0.21

Record 9
The following is a PBE-GGA calculation of a relaxed LiLuTcOs crystal, from the Alexandria database.

a = 6.3372 Å, b = 6.3372 Å, c = 6.3372 Å
α = 90.00°, β = 90.00°, γ = 90.00°
Space group F-43m (No. 216)
Symmetry-distinct sites (fractional):
Li: 0.0000 0.0000 0.0000 [4 per cell]
Lu: 0.2500 0.2500 0.2500 [4 per cell]
Tc: 0.0000 0.0000 0.5000 [4 per cell]
Os: 0.2500 0.2500 0.7500 [4 per cell]

## Properties
Energy in eV/atom: -6.961

Record 10
The following is a PBE-GGA calculation of a relaxed BaZr2Co crystal, from the Alexandria database.

a = 4.2468 Å, b = 4.2468 Å, c = 5.2669 Å
α = 90.00°, β = 90.00°, γ = 90.00°
Space group P4/mmm (No. 123)
Symmetry-distinct sites (fractional):
Ba: 0.0000 0.0000 0.0000 [1 per cell]
Zr: 0.0000 0.5000 0.5000 [2 per cell]
Co: 0.5000 0.5000 0.0000 [1 per cell]

## Properties
Relative energy among the computed polymorphs in eV per atom: 0.624

Record 11
The following is a PBE-GGA calculation of a relaxed Ca2RhPb crystal, from the Alexandria database.

a = 3.8742 Å, b = 4.7720 Å, c = 11.7399 Å
α = 90.00°, β = 90.00°, γ = 90.00°
Space group Amm2 (No. 38)
Symmetry-distinct sites (fractional):
Ca: 0.0000 0.0000 0.0000 [2 per cell]
Ca: 0.5000 0.0000 0.2978 [2 per cell]
Rh: 0.5000 0.0000 0.5374 [2 per cell]
Pb: 0.0000 0.0000 0.7004 [2 per cell]

## Properties
Energy in eV/atom: -4.147

Record 12
The following is a PBE-GGA calculation of a relaxed Cs6Ag2Br3Cl crystal, from the Alexandria database.

a = 22.9643 Å, b = 5.2255 Å, c = 10.5957 Å
α = 90.00°, β = 103.65°, γ = 90.00°
Space group C2/m (No. 12)
Symmetry-distinct sites (fractional):
Cs: 0.0014 0.0000 0.2604 [4 per cell]
Cs: 0.1626 0.5000 0.0939 [4 per cell]
Cs: 0.1632 0.5000 0.5758 [4 per cell]
Ag: 0.1676 0.0000 0.8360 [4 per cell]
Br: 0.0000 0.5000 0.0000 [2 per cell]
Br: 0.1666 0.0000 0.3382 [4 per cell]
Cl: 0.0000 0.5000 0.5000 [2 per cell]

## Properties
Formation energy (no corrections) in eV/atom: -1.18

Record 13
The following is a PBE-GGA calculation of a relaxed NaCaCeI6 crystal, from the Alexandria database.

a = 7.9540 Å, b = 7.9540 Å, c = 14.5911 Å
α = 90.00°, β = 90.00°, γ = 120.00°
Space group P-31c (No. 163)
Symmetry-distinct sites (fractional):
Na: 0.0000 0.0000 0.0000 [2 per cell]
Ca: 0.3333 0.6667 0.2500 [2 per cell]
Ce: 0.3333 0.6667 0.7500 [2 per cell]
I: 0.0004 0.3481 0.1272 [12 per cell]

## Properties
Formation energy (no corrections) in eV/atom: -1.40

Record 14
The following is a PBE-GGA calculation of a relaxed TbGdPuMg crystal, from the Alexandria database.

a = 7.7251 Å, b = 7.7251 Å, c = 7.7251 Å
α = 90.00°, β = 90.00°, γ = 90.00°
Space group F-43m (No. 216)
Symmetry-distinct sites (fractional):
Tb: 0.0000 0.0000 0.0000 [4 per cell]
Gd: 0.0000 0.0000 0.5000 [4 per cell]
Pu: 0.2500 0.2500 0.7500 [4 per cell]
Mg: 0.2500 0.2500 0.2500 [4 per cell]

## Properties
Energy in eV/atom: -8.518

Record 15
The following is a PBE-GGA calculation of a relaxed Pm4NdCu4 crystal, from the Alexandria database.

a = 8.6695 Å, b = 8.6695 Å, c = 6.2477 Å
α = 90.00°, β = 90.00°, γ = 90.00°
Space group P4_2/n (No. 86, origin choice 2)
Symmetry-distinct sites (fractional):
Pm: 0.0502 0.6613 0.1500 [8 per cell]
Nd: 0.2500 0.2500 0.2500 [2 per cell]
Cu: 0.0228 0.6212 0.6086 [8 per cell]

## Properties
Energy in eV/atom: -4.462

Record 16
The following is a PBE-GGA calculation of a relaxed AcPuGaPd crystal, from the Alexandria database.

a = 7.4565 Å, b = 7.4565 Å, c = 7.4565 Å
α = 90.00°, β = 90.00°, γ = 90.00°
Space group F-43m (No. 216)
Symmetry-distinct sites (fractional):
Ac: 0.0000 0.0000 0.0000 [4 per cell]
Pu: 0.0000 0.0000 0.5000 [4 per cell]
Ga: 0.2500 0.2500 0.7500 [4 per cell]
Pd: 0.2500 0.2500 0.2500 [4 per cell]

## Properties
Energy in eV/atom: -7.018

Record 17
The following is a PBE-GGA calculation of a relaxed RbTl2NiPd crystal, from the Alexandria database.

a = 6.2257 Å, b = 6.2257 Å, c = 4.7403 Å
α = 90.00°, β = 90.00°, γ = 90.00°
Space group P4/mmm (No. 123)
Symmetry-distinct sites (fractional):
Rb: 0.0000 0.0000 0.0000 [1 per cell]
Tl: 0.0000 0.5000 0.0000 [2 per cell]
Ni: 0.0000 0.0000 0.5000 [1 per cell]
Pd: 0.5000 0.5000 0.5000 [1 per cell]

## Properties
Energy in eV/atom: -1.875

Record 18
The following is a PBE-GGA calculation of a relaxed La3Tb2Pr6 crystal, from the Alexandria database.

a = 4.9096 Å, b = 4.9096 Å, c = 34.1910 Å
α = 90.00°, β = 90.00°, γ = 90.00°
Space group I4/mmm (No. 139)
Symmetry-distinct sites (fractional):
La: 0.0000 0.0000 0.0000 [2 per cell]
La: 0.0000 0.0000 0.2054 [4 per cell]
Tb: 0.0000 0.0000 0.4551 [4 per cell]
Pr: 0.0000 0.0000 0.3071 [4 per cell]
Pr: 0.0000 0.5000 0.1180 [8 per cell]

## Properties
Relative energy among the computed polymorphs in eV per atom: 0.115

Record 19
The following is a PBE-GGA calculation of a relaxed Ac2LaTe3 crystal, from the Alexandria database.

a = 4.6886 Å, b = 6.6268 Å, c = 14.0413 Å
α = 90.00°, β = 90.00°, γ = 90.00°
Space group Immm (No. 71)
Symmetry-distinct sites (fractional):
Ac: 0.0000 0.0000 0.1690 [4 per cell]
La: 0.0000 0.0000 0.5000 [2 per cell]
Te: 0.0000 0.5000 0.1614 [4 per cell]
Te: 0.0000 0.5000 0.5000 [2 per cell]

## Properties
Formation energy (no corrections) in eV/atom: -1.52

Record 20
The following is a PBE-GGA calculation of a relaxed Er5Tm2Fe2 crystal, from the Alexandria database.

a = 19.5062 Å, b = 6.9655 Å, c = 6.9036 Å
α = 90.00°, β = 90.00°, γ = 90.00°
Space group Cmce (No. 64)
Symmetry-distinct sites (fractional):
Er: 0.0000 0.0000 0.0000 [4 per cell]
Er: 0.1082 0.1822 0.3205 [16 per cell]
Tm: 0.2340 0.0000 0.0000 [8 per cell]
Fe: 0.0000 0.1107 0.6060 [8 per cell]

## Properties
Energy in eV/atom: -5.368

Record 21
The following is a PBE-GGA calculation of a relaxed CsRb2InBr4 crystal, from the Alexandria database.

a = 8.5965 Å, b = 4.9829 Å, c = 8.6045 Å
α = 90.00°, β = 109.45°, γ = 90.00°
Space group P2/m (No. 10)
Symmetry-distinct sites (fractional):
Cs: 0.0000 0.0000 0.0000 [1 per cell]
Rb: 0.0000 0.5000 0.5000 [1 per cell]
Rb: 0.5000 0.0000 0.5000 [1 per cell]
In: 0.5000 0.5000 0.0000 [1 per cell]
Br: 0.2618 0.0000 0.7526 [2 per cell]
Br: 0.2641 0.5000 0.2553 [2 per cell]

## Properties
Formation energy (no corrections) in eV/atom: -1.47

Record 22
The following is a PBE-GGA calculation of a relaxed Na2Ga2Ag5 crystal, from the Alexandria database.

a = 4.7012 Å, b = 4.7012 Å, c = 8.4229 Å
α = 90.00°, β = 90.00°, γ = 90.00°
Space group P4/mmm (No. 123)
Symmetry-distinct sites (fractional):
Na: 0.0000 0.0000 0.0000 [1 per cell]
Na: 0.0000 0.0000 0.5000 [1 per cell]
Ga: 0.5000 0.5000 0.1484 [2 per cell]
Ag: 0.0000 0.5000 0.2862 [4 per cell]
Ag: 0.5000 0.5000 0.5000 [1 per cell]

## Properties
Energy in eV/atom: -2.571

Record 23
The following is a PBE-GGA calculation of a relaxed Pm2I4O crystal, from the Alexandria database.

a = 13.4276 Å, b = 13.4276 Å, c = 3.7281 Å
α = 90.00°, β = 90.00°, γ = 90.00°
Space group P4_2/mnm (No. 136)
Symmetry-distinct sites (fractional):
Pm: 0.0895 0.0895 0.0000 [4 per cell]
I: 0.0465 0.2677 0.5000 [8 per cell]
O: 0.0000 0.0000 0.5000 [2 per cell]

## Properties
Formation energy (no corrections) in eV/atom: -1.66

Record 24
The following is a PBE-GGA calculation of a relaxed InReSe3 crystal, from the Alexandria database.

a = 4.9677 Å, b = 4.9677 Å, c = 4.9677 Å
α = 90.00°, β = 90.00°, γ = 90.00°
Space group Pm-3m (No. 221)
Symmetry-distinct sites (fractional):
In: 0.0000 0.0000 0.0000 [1 per cell]
Re: 0.5000 0.5000 0.5000 [1 per cell]
Se: 0.0000 0.5000 0.5000 [3 per cell]

## Properties
Formation energy (no corrections) in eV/atom: 0.25
Relative energy among the computed polymorphs in eV per atom: 0.000